A plane-wave DFT calculation with PBE-GGA was carried out for an optimized crystal structure of Zn2Sb2Pd.

- V: 217 Å³/cell
- Total magnetic moment: 0.00 Bohr magnetons per cell
- VASP energy: -3.1374 eV per atom
- Energy relative to the elements, uncorrected: 59.7 meV per atom
- Excess energy over the best structure of this formula in the dataset: 0.023 eV/atom

Cell and atoms, written as POSCAR:
```
Zn2Sb2Pd
1.0
7.3768 0.0000 0.0000
0.0000 7.3768 0.0000
0.0000 0.0000 3.9940
Zn Sb Pd
4 4 2
Direct
0.1256 0.3744 0.0000 Zn
0.3744 0.8744 0.0000 Zn
0.6256 0.1256 0.0000 Zn
0.8744 0.6256 0.0000 Zn
0.1830 0.6830 0.5000 Sb
0.3170 0.1830 0.5000 Sb
0.6830 0.8170 0.5000 Sb
0.8170 0.3170 0.5000 Sb
0.0000 0.0000 0.5000 Pd
0.5000 0.5000 0.5000 Pd
```